Below is AsSI2N after structural relaxation, with properties calculated at the GGA-PBE level.

a = 6.0538 Å, b = 6.0538 Å, c = 3.5789 Å
α = 90.00°, β = 90.00°, γ = 90.00°
Positions (direct):
As (0.0000, 0.0000, 0.0000)
S (0.5000, 0.5000, 0.5000)
I (0.0000, 0.5000, 0.0000)
I (0.5000, 0.0000, 0.0000)
N (0.0000, 0.0000, 0.5000)

Properties
N(E_F) ... 0.90 states/eV per atom
Excess energy over the best structure of this formula in the dataset ... 50 meV/atom
Formation energy (no corrections) ... 1077 meV per atom
E ... -2.96 eV per atom
Magnetization ... 0.262 μB/atom



Below is AsS2IN after structural relaxation, with properties calculated at the GGA-PBE level.

a = 5.2262 Å, b = 5.2262 Å, c = 3.8835 Å
α = 90.00°, β = 90.00°, γ = 90.00°
Positions (direct):
As (0.0000, 0.0000, 0.0000)
S (0.0000, 0.5000, 0.5000)
S (0.5000, 0.0000, 0.5000)
I (0.5000, 0.5000, 0.5000)
N (0.5000, 0.5000, 0.0000)

Properties
N(E_F) ... 0.57 states/eV per atom
Excess energy over the best structure of this formula in the dataset ... 482 meV/atom
Formation energy (no corrections) ... 1516 meV per atom
E ... -3.04 eV per atom
Magnetization ... 0.000 μB/atom



Below is AsSIN2 after structural relaxation, with properties calculated at the GGA-PBE level.

a = 3.7808 Å, b = 3.7808 Å, c = 6.5003 Å
α = 90.00°, β = 90.00°, γ = 90.00°
Positions (direct):
As (0.0000, 0.0000, 0.0000)
S (0.0000, 0.0000, 0.5000)
I (0.5000, 0.5000, 0.5000)
N (0.0000, 0.5000, 0.0000)
N (0.5000, 0.0000, 0.0000)

Properties
N(E_F) ... 0.47 states/eV per atom
Excess energy over the best structure of this formula in the dataset ... 0 meV/atom
Formation energy (no corrections) ... 1376 meV per atom
E ... -4.02 eV per atom
Magnetization ... 0.136 μB/atom